The following is a PBE calculation of an optimized crystal structure of Sc3CdSb, from Alexandria via LeMat-Bulk.

a = 5.2205 Å, b = 5.2205 Å, c = 5.2205 Å
α = 90.00°, β = 90.00°, γ = 90.00°
With the nearest neighbours (Å) after each atom.
Sites, in units of the cell vectors:
Sc1 0.0000 0.5000 0.0000  2 Cd 2.61
Sc2 0.0000 0.0000 0.5000  2 Cd 2.61
Sc3 0.5000 0.0000 0.0000  2 Cd 2.61
Sb1 0.5000 0.5000 0.5000  12 Sc 3.69
Cd1 0.0000 0.0000 0.0000  6 Sc 2.61

Summary:
magnetization = 0.00 μB per formula unit
energy = -23.1 eV per cell
N(E_F) = 1.67 states/eV per cell